[1]
VCuI3: optimized geometry, PBE.

POSCAR file:
```
VCuI3
1.0
5.414 0.000 0.000
0.000 5.414 0.000
0.000 0.000 5.414
I Cu V
3 1 1
direct
0.000 0.500 0.000
0.000 0.000 0.500
0.500 0.000 0.000
0.000 0.000 0.000
0.500 0.500 0.500
```

Properties
Raw formation energy   0.540 eV per atom
D(E_F)   10.55 states/eV/cell
Magnetic moment   3.51 μB/cell

=====

[2]
KNbCr3: optimized geometry, PBE.

POSCAR file:
```
KNbCr3
1.0
4.672 0.000 0.000
0.000 4.672 0.000
0.000 0.000 4.672
Cr Nb K
3 1 1
direct
0.000 0.500 0.000
0.000 0.000 0.500
0.500 0.000 0.000
0.500 0.500 0.500
0.000 0.000 0.000
```

Properties
E_form   2.506 eV/atom
D(E_F)   3.28 states/eV/cell
Magnetic moment   9.66 μB/cell

=====

[3]
Eu3Dy: optimized geometry, PBE.

POSCAR file:
```
Eu3Dy
1.0
4.608 4.836 -3.649
-5.237 2.655 4.844
4.045 -0.393 4.589
Eu Dy
6 2
direct
0.170 0.339 0.250
0.661 0.830 0.250
0.170 0.830 0.250
0.830 0.661 0.750
0.339 0.170 0.750
0.830 0.170 0.750
0.333 0.667 0.750
0.667 0.333 0.250
```

Properties
E_form   0.094 eV/atom
D(E_F)   10.14 states/eV/cell
Magnetic moment   45.02 μB/cell